First-principles (GGA+U) data for a relaxed structure of FeAs2BrF, as listed in Alexandria.

Structure (CIF):
```
data_FeAs2BrF
_chemical_formula_sum 'Fe1 As2 Br1 F1'
_symmetry_space_group_name_H-M 'P 1'
_symmetry_Int_Tables_number 1
_symmetry_space_group_name_Hall 'P 1'
_cell_length_a 4.762
_cell_length_b 4.762
_cell_length_c 4.963
_cell_angle_alpha 90.00
_cell_angle_beta 90.00
_cell_angle_gamma 90.00
loop_
_atom_site_label
_atom_site_fract_x
_atom_site_fract_y
_atom_site_fract_z
Fe1 0.000 0.000 0.000
F1 0.500 0.500 0.500
Br1 0.000 0.000 0.500
As1 0.000 0.500 0.000
As2 0.500 0.000 0.000
```

Results
Crystal system: tetragonal
Space group: P4/mmm (123)
Energy above the lowest structure with this stoichiometry: 0 meV/atom
Magnetization: 2.95 Bohr magnetons per cell